A.
Compound: HfFe3P
Source: Alexandria via LeMat-Bulk
Functional: GGA-PBE
Structure: relaxed

The structure in extended XYZ format:
```
5
Lattice="4.096 0.000 0.000 0.000 4.096 0.000 0.000 0.000 4.096" Properties=species:S:1:pos:R:3 pbc="T T T"
Hf 0.000 0.000 0.000
Fe 0.000 2.048 2.048
Fe 2.048 0.000 2.048
Fe 2.048 2.048 0.000
P 2.048 2.048 2.048
```

Output
Symmetry: Pm-3m (221)
N(E_F) (states/eV per atom): 0.47
Spin magnetization (Bohr magnetons per cell): 1.081
Calculated volume (Å³/cell): 68.71

---

B.
Compound: HfFe3P
Source: Alexandria via LeMat-Bulk
Functional: GGA-PBE
Structure: relaxed

The structure in extended XYZ format:
```
5
Lattice="4.575 0.000 0.000 0.000 4.575 0.000 0.000 0.000 4.575" Properties=species:S:1:pos:R:3 pbc="T T T"
Hf 0.000 0.000 0.000
Fe 0.000 0.000 2.287
Fe 0.000 2.287 0.000
Fe 2.287 0.000 0.000
P 2.287 2.287 2.287
```

Output
Symmetry: Pm-3m (221)
N(E_F) (states/eV per atom): 1.40
Spin magnetization (Bohr magnetons per cell): 6.111
Calculated volume (Å³/cell): 95.74

---

Most stable: A (next structure +1782 meV per atom)

---

A.
Compound: HfFePS2
Source: Alexandria via LeMat-Bulk
Functional: GGA-PBE
Structure: relaxed

The structure in extended XYZ format:
```
5
Lattice="4.340 0.000 0.000 0.000 4.340 0.000 0.000 0.000 4.526" Properties=species:S:1:pos:R:3 pbc="T T T"
Hf 0.000 0.000 0.000
Fe 2.170 2.170 2.263
P 2.170 2.170 0.000
S 0.000 2.170 2.263
S 2.170 0.000 2.263
```

Output
Symmetry: P4/mmm (123)
N(E_F) (states/eV per atom): 1.00
Spin magnetization (Bohr magnetons per cell): 1.812
Calculated volume (Å³/cell): 85.23

---

B.
Compound: HfFePS2
Source: Alexandria via LeMat-Bulk
Functional: GGA-PBE
Structure: relaxed

The structure in extended XYZ format:
```
5
Lattice="4.861 0.000 0.000 0.000 4.861 0.000 0.000 0.000 5.054" Properties=species:S:1:pos:R:3 pbc="T T T"
Hf 0.000 0.000 0.000
Fe 2.430 2.430 2.527
P 0.000 0.000 2.527
S 0.000 2.430 0.000
S 2.430 0.000 0.000
```

Output
Symmetry: P4/mmm (123)
N(E_F) (states/eV per atom): 0.74
Spin magnetization (Bohr magnetons per cell): 4.082
Calculated volume (Å³/cell): 119.41

---

Most stable: A (next structure +155 meV per atom)

---

A.
Compound: HfPaFe2
Source: Alexandria via LeMat-Bulk
Functional: GGA-PBE
Structure: relaxed

The structure in extended XYZ format:
```
4
Lattice="0.000 3.248 3.248 3.248 0.000 3.248 3.248 3.248 0.000" Properties=species:S:1:pos:R:3 pbc="T T T"
Hf 0.000 0.000 0.000
Pa 3.248 3.248 3.248
Fe 1.624 1.624 1.624
Fe 4.871 4.871 4.871
```

Output
Symmetry: Fm-3m (225)
N(E_F) (states/eV per atom): 1.23
Spin magnetization (Bohr magnetons per cell): 1.525
Calculated volume (Å³/cell): 68.50

---

B.
Compound: HfPaFe2
Source: Alexandria via LeMat-Bulk
Functional: GGA-PBE
Structure: relaxed

The structure in extended XYZ format:
```
4
Lattice="4.613 0.000 0.000 0.000 4.613 0.000 0.000 0.000 3.192" Properties=species:S:1:pos:R:3 pbc="T T T"
Hf 0.000 0.000 0.000
Pa 2.307 2.307 0.000
Fe 0.000 2.307 1.596
Fe 2.307 0.000 1.596
```

Output
Symmetry: P4/mmm (123)
N(E_F) (states/eV per atom): 0.92
Spin magnetization (Bohr magnetons per cell): 0.990
Calculated volume (Å³/cell): 67.93

---

Most stable: B (next structure +58 meV per atom)

---

A.
Compound: HfFePb3
Source: Alexandria via LeMat-Bulk
Functional: GGA-PBE
Structure: relaxed

The structure in extended XYZ format:
```
5
Lattice="5.614 0.000 0.000 0.000 5.614 0.000 0.000 0.000 5.614" Properties=species:S:1:pos:R:3 pbc="T T T"
Hf 0.000 0.000 0.000
Fe 2.807 2.807 2.807
Pb 0.000 0.000 2.807
Pb 0.000 2.807 0.000
Pb 2.807 0.000 0.000
```

Output
Symmetry: Pm-3m (221)
N(E_F) (states/eV per atom): 3.16
Spin magnetization (Bohr magnetons per cell): 3.916
Calculated volume (Å³/cell): 176.92

---

B.
Compound: HfFePb3
Source: Alexandria via LeMat-Bulk
Functional: GGA-PBE
Structure: relaxed

The structure in extended XYZ format:
```
5
Lattice="5.059 0.000 0.000 0.000 5.059 0.000 0.000 0.000 5.059" Properties=species:S:1:pos:R:3 pbc="T T T"
Hf 0.000 0.000 0.000
Fe 2.530 2.530 2.530
Pb 0.000 2.530 2.530
Pb 2.530 0.000 2.530
Pb 2.530 2.530 0.000
```

Output
Symmetry: Pm-3m (221)
N(E_F) (states/eV per atom): 1.66
Spin magnetization (Bohr magnetons per cell): 0.000
Calculated volume (Å³/cell): 129.48

---

Most stable: B (next structure +255 meV per atom)

---

A.
Compound: Hf6FePt2
Source: Alexandria via LeMat-Bulk
Functional: GGA-PBE
Structure: relaxed

The structure in extended XYZ format:
```
18
Lattice="5.475 0.000 0.000 0.000 7.201 0.000 -5.312 0.000 8.979" Properties=species:S:1:pos:R:3 pbc="T T T"
Hf -0.810 0.344 2.247
Hf -3.466 3.256 6.737
Hf 0.787 5.161 0.484
Hf -1.869 5.641 4.974
Hf 1.900 1.120 0.347
Hf -0.757 2.481 4.837
Hf 0.920 4.720 4.142
Hf -1.736 6.081 8.631
Hf 2.032 1.560 4.005
Hf -0.624 2.040 8.495
Hf 3.629 3.945 2.242
Hf 0.973 6.857 6.732
Fe 0.082 0.000 4.489
Fe 2.738 3.600 0.000
Pt -1.943 0.688 6.478
Pt 0.713 2.913 1.989
Pt -0.549 4.288 6.990
Pt 2.107 6.513 2.501
```

Output
Symmetry: P2_1/c (14)
N(E_F) (states/eV per atom): 0.77
Spin magnetization (Bohr magnetons per cell): 0.000
Calculated volume (Å³/cell): 354.00

---

B.
Compound: Hf6FePt2
Source: Alexandria via LeMat-Bulk
Functional: GGA-PBE
Structure: relaxed

The structure in extended XYZ format:
```
9
Lattice="3.371 0.000 0.000 0.000 6.873 3.736 0.000 -6.873 3.736" Properties=species:S:1:pos:R:3 pbc="T T T"
Hf 0.000 0.000 7.471
Hf 0.000 -1.771 4.936
Hf 0.000 1.771 4.936
Hf 1.686 -4.217 3.736
Hf 1.686 0.000 2.700
Hf 1.686 4.217 3.736
Fe 1.686 0.000 5.487
Pt 0.000 -2.221 2.200
Pt 0.000 2.221 2.200
```

Output
Symmetry: Amm2 (38)
N(E_F) (states/eV per atom): 0.92
Spin magnetization (Bohr magnetons per cell): 0.000
Calculated volume (Å³/cell): 173.11

---

Most stable: B (next structure +84 meV per atom)

---

A.
Compound: HfFe2Pt2
Source: Alexandria via LeMat-Bulk
Functional: GGA-PBE
Structure: relaxed

The structure in extended XYZ format:
```
10
Lattice="7.362 0.000 0.000 0.000 7.362 0.000 0.000 0.000 2.824" Properties=species:S:1:pos:R:3 pbc="T T T"
Hf 0.000 0.000 0.000
Hf 3.681 3.681 0.000
Fe 0.846 2.834 0.000
Fe 2.834 6.515 0.000
Fe 4.527 0.846 0.000
Fe 6.515 4.527 0.000
Pt 1.320 5.001 1.412
Pt 2.361 1.320 1.412
Pt 5.001 6.042 1.412
Pt 6.042 2.361 1.412
```

Output
Symmetry: P4/mbm (127)
N(E_F) (states/eV per atom): 1.02
Spin magnetization (Bohr magnetons per cell): 10.435
Calculated volume (Å³/cell): 153.05

---

B.
Compound: HfFe2Pt2
Source: Alexandria via LeMat-Bulk
Functional: GGA-PBE
Structure: relaxed

The structure in extended XYZ format:
```
5
Lattice="-1.739 1.739 6.688 1.739 -1.739 6.688 1.739 1.739 -6.688" Properties=species:S:1:pos:R:3 pbc="T T T"
Hf 0.000 0.000 0.000
Fe 1.739 0.000 3.344
Fe 0.000 1.739 3.344
Pt 0.000 0.000 5.327
Pt 0.000 0.000 8.050
```

Output
Symmetry: I4/mmm (139)
N(E_F) (states/eV per atom): 1.28
Spin magnetization (Bohr magnetons per cell): 5.267
Calculated volume (Å³/cell): 80.88

---

Most stable: B (next structure +38 meV per atom)

---

A.
Compound: PuHf2Fe
Source: Alexandria via LeMat-Bulk
Functional: GGA-PBE
Structure: relaxed

The structure in extended XYZ format:
```
4
Lattice="3.152 0.000 0.000 0.000 3.152 0.000 0.000 0.000 7.758" Properties=species:S:1:pos:R:3 pbc="T T T"
Pu 0.000 0.000 0.000
Hf 1.576 1.576 2.324
Hf 1.576 1.576 5.434
Fe 0.000 0.000 3.879
```

Output
Symmetry: P4/mmm (123)
N(E_F) (states/eV per atom): 1.56
Spin magnetization (Bohr magnetons per cell): 5.183
Calculated volume (Å³/cell): 77.06

---

B.
Compound: PuHf2Fe
Source: Alexandria via LeMat-Bulk
Functional: GGA-PBE
Structure: relaxed

The structure in extended XYZ format:
```
4
Lattice="1.575 0.910 9.906 -1.575 0.910 9.906 0.000 -1.819 9.906" Properties=species:S:1:pos:R:3 pbc="T T T"
Pu 0.000 0.000 0.000
Hf 0.000 0.000 3.111
Hf 0.000 0.000 26.605
Fe 0.000 0.000 14.858
```

Output
Symmetry: R-3m (166)
N(E_F) (states/eV per atom): 2.37
Spin magnetization (Bohr magnetons per cell): 6.009
Calculated volume (Å³/cell): 85.17

---

Most stable: A (next structure +389 meV per atom)

---

A.
Compound: PuHfFe
Source: Alexandria via LeMat-Bulk
Functional: GGA-PBE
Structure: relaxed

The structure in extended XYZ format:
```
6
Lattice="5.186 -1.726 0.000 5.186 1.726 0.000 -4.989 0.000 6.293" Properties=species:S:1:pos:R:3 pbc="T T T"
Pu 1.372 0.000 0.556
Pu 4.010 0.000 5.737
Hf 1.155 0.000 4.019
Hf 4.227 0.000 2.274
Fe -1.738 0.000 4.136
Fe 7.120 0.000 2.157
```

Output
Symmetry: C2/m (12)
N(E_F) (states/eV per atom): 1.82
Spin magnetization (Bohr magnetons per cell): 8.029
Calculated volume (Å³/cell): 112.64

---

B.
Compound: PuHfFe
Source: Alexandria via LeMat-Bulk
Functional: GGA-PBE
Structure: relaxed

The structure in extended XYZ format:
```
3
Lattice="-1.583 1.583 5.791 1.583 -1.583 5.791 1.583 1.583 -5.791" Properties=species:S:1:pos:R:3 pbc="T T T"
Pu 0.000 0.000 0.000
Hf 0.000 0.000 3.285
Fe 0.000 0.000 7.549
```

Output
Symmetry: I4mm (107)
N(E_F) (states/eV per atom): 2.03
Spin magnetization (Bohr magnetons per cell): 4.011
Calculated volume (Å³/cell): 58.05

---

Most stable: A (next structure +121 meV per atom)